# 1
Ba2InTe: relaxed, PBE-GGA.

Geometry as POSCAR:
```
Ba2InTe
1.0
6.561 -2.240 0.000
6.561 2.240 0.000
-0.994 0.000 5.610
Ba In Te
2 1 1
Direct
0.000 0.000 0.000
0.744 0.744 0.539
0.274 0.274 0.061
0.467 0.467 0.476
```

Computed properties:
Symmetry: Cm (8)
E_form (uncorrected) (kJ/mol of atoms): -84.9
Total DFT energy (no corrections) (eV per atom): -3.3112
M_tot (μB per cell): 0.0
DOS(E_F) (states/eV per atom): 0.728
Excess energy over the best structure of this formula in the dataset (eV/f.u.): 0.204

# 2
Li3ScCl: relaxed, PBE-GGA.

Geometry as POSCAR:
```
Li3ScCl
1.0
4.771 0.000 0.000
0.000 4.771 0.000
0.000 0.000 4.771
Li Sc Cl
3 1 1
Direct
0.000 0.000 0.500
0.000 0.500 0.000
0.500 0.000 0.000
0.500 0.500 0.500
0.000 0.000 0.000
```

Computed properties:
Symmetry: Pm-3m (221)
E_form (uncorrected) (kJ/mol of atoms): -20.1
Total DFT energy (no corrections) (eV per atom): -2.9927
M_tot (μB per cell): 1.0
DOS(E_F) (states/eV per atom): 1.059
Excess energy over the best structure of this formula in the dataset (eV/f.u.): 0.000

# 3
CeEuIn: relaxed, PBE-GGA.

Geometry as POSCAR:
```
CeEuIn
1.0
-1.971 1.971 6.178
1.971 -1.971 6.178
1.971 1.971 -6.178
Ce Eu In
1 1 1
Direct
0.000 0.000 0.000
0.302 0.302 0.000
0.647 0.647 0.000
```

Computed properties:
E_form (eV/atom): -0.168
Symmetry: I4mm (107)
Total DFT energy (no corrections) (eV per atom): -6.4836
M_tot (μB per cell): 9.1
DOS(E_F) (states/eV per atom): 2.682
Excess energy over the best structure of this formula in the dataset (eV/f.u.): 0.000

# 4
Ho2TaAl2Ru5: relaxed, PBE-GGA.

Geometry as POSCAR:
```
Ho2TaAl2Ru5
1.0
10.111 0.000 0.000
0.000 10.111 0.000
0.000 0.000 3.291
Ho Ta Al Ru
4 2 4 10
Direct
0.172 0.328 0.000
0.328 0.828 0.000
0.672 0.172 0.000
0.828 0.672 0.000
0.000 0.000 0.000
0.500 0.500 0.000
0.127 0.627 0.000
0.373 0.127 0.000
0.627 0.873 0.000
0.873 0.373 0.000
0.000 0.500 0.500
0.067 0.801 0.500
0.199 0.067 0.500
0.301 0.567 0.500
0.433 0.301 0.500
0.500 0.000 0.500
0.567 0.699 0.500
0.699 0.433 0.500
0.801 0.933 0.500
0.933 0.199 0.500
```

Computed properties:
E_form (eV/atom): -0.481
Symmetry: P4/mbm (127)
Total DFT energy (no corrections) (eV per atom): -7.9682
M_tot (μB per cell): 0.0
DOS(E_F) (states/eV per atom): 0.797

# 5
YBr: relaxed, PBE-GGA.

Geometry as POSCAR:
```
YBr
1.0
0.000 2.952 2.952
2.952 0.000 2.952
2.952 2.952 0.000
Y Br
1 1
Direct
0.000 0.000 0.000
0.500 0.500 0.500
```

Computed properties:
Symmetry: Fm-3m (225)
E_form (uncorrected) (kJ/mol of atoms): -69.3
Total DFT energy (no corrections) (eV per atom): -4.7868
M_tot (μB per cell): 0.0
DOS(E_F) (states/eV per atom): 0.890

# 6
TmMg10Cd2: relaxed, PBE-GGA.

Geometry as POSCAR:
```
TmMg10Cd2
1.0
0.000 7.100 7.140
2.969 0.000 7.140
2.969 7.100 0.000
Tm Mg Cd
1 10 2
Direct
0.000 0.000 0.000
0.000 0.500 0.000
0.003 0.651 0.349
0.289 0.502 0.498
0.349 0.997 0.003
0.498 0.711 0.289
0.500 0.000 0.500
0.502 0.289 0.711
0.651 0.003 0.997
0.711 0.498 0.502
0.997 0.349 0.651
0.000 0.000 0.500
0.500 0.500 0.000
```

Computed properties:
E_form (eV/atom): -0.043
Symmetry: Fmmm (69)
Total DFT energy (no corrections) (eV per atom): -1.7547
M_tot (μB per cell): 0.0
DOS(E_F) (states/eV per atom): 0.438

# 7
CuRuRh2: relaxed, PBE-GGA.

Geometry as POSCAR:
```
CuRuRh2
1.0
2.704 0.000 0.000
0.000 3.812 0.000
0.000 0.000 5.316
Cu Ru Rh
1 1 2
Direct
0.000 0.000 0.000
0.500 0.500 0.747
0.000 0.000 0.508
0.500 0.500 0.236
```

Computed properties:
E_form (eV/atom): 0.109
Symmetry: Pmm2 (25)
Total DFT energy (no corrections) (eV per atom): -6.9096
M_tot (μB per cell): 0.0
DOS(E_F) (states/eV per atom): 1.149
Excess energy over the best structure of this formula in the dataset (eV/f.u.): 0.323

# 8
Mg2Tl12In5: relaxed, PBE-GGA.

Geometry as POSCAR:
```
Mg2Tl12In5
1.0
8.566 -5.639 0.000
8.566 5.639 0.000
-1.363 0.000 5.710
Mg Tl In
2 12 5
Direct
0.248 0.752 0.000
0.752 0.248 0.000
0.070 0.541 0.798
0.102 0.102 0.053
0.154 0.648 0.380
0.352 0.846 0.620
0.447 0.447 0.725
0.459 0.930 0.202
0.541 0.070 0.798
0.553 0.553 0.275
0.648 0.154 0.380
0.846 0.352 0.620
0.898 0.898 0.947
0.930 0.459 0.202
0.000 0.000 0.500
0.206 0.206 0.604
0.310 0.310 0.179
0.690 0.690 0.821
0.794 0.794 0.396
```

Computed properties:
E_form (eV/atom): 0.036
Symmetry: C2/m (12)
Total DFT energy (no corrections) (eV per atom): -2.3470
M_tot (μB per cell): 0.0
DOS(E_F) (states/eV per atom): 0.320

Which of these has the highest DOS(E_F)?
CeEuIn